DFT (SCAN) results for a crystal of NbPOs2S relaxed with PBEsol.

Values from the calculation:
Final energy: -186.64 eV for the cell shown
Crystal system: tetragonal

Cell: 4.769 4.769 4.518 Å, 90.00 90.00 90.00°
Space group P4/mmm (No. 123)
Symmetry-distinct sites (fractional):
Nb 0.000 0.000 0.000 (multiplicity 1)
P 0.500 0.500 0.500 (multiplicity 1)
Os 0.000 0.500 0.000 (multiplicity 2)
S 0.000 0.000 0.500 (multiplicity 1)

***

DFT (SCAN) results for a crystal of SrTePt2 relaxed with PBEsol.

Values from the calculation:
Energy above the most stable polymorph in this dataset: 0 meV per atom
Crystal system: monoclinic

Cell: 9.269 3.940 5.767 Å, 90.00 114.96 90.00°
Space group Cm (No. 8)
Symmetry-distinct sites (fractional):
Sr 0.000 0.000 0.000 (multiplicity 2)
Te 0.186 0.000 0.612 (multiplicity 2)
Pt 0.278 0.500 0.390 (multiplicity 2)
Pt 0.472 0.000 0.413 (multiplicity 2)

***

DFT (SCAN) results for a crystal of TiPS2I relaxed with PBEsol.

Values from the calculation:
Energy above the most stable polymorph in this dataset: 0 meV per atom
Crystal system: tetragonal

Cell: 4.528 4.528 5.209 Å, 90.00 90.00 90.00°
Space group P4/mmm (No. 123)
Symmetry-distinct sites (fractional):
Ti 0.000 0.000 0.000 (multiplicity 1)
P 0.000 0.000 0.500 (multiplicity 1)
S 0.000 0.500 0.000 (multiplicity 2)
I 0.500 0.500 0.500 (multiplicity 1)

***

DFT (SCAN) results for a crystal of K2YCr relaxed with PBEsol.

Values from the calculation:
Energy above the most stable polymorph in this dataset: 0 meV per atom
Formation energy: 0.694 eV per atom
Crystal system: tetragonal

Cell: 4.593 4.593 6.466 Å, 90.00 90.00 90.00°
Space group P4/mmm (No. 123)
Symmetry-distinct sites (fractional):
K 0.000 0.500 0.000 (multiplicity 2)
Y 0.000 0.000 0.500 (multiplicity 1)
Cr 0.500 0.500 0.500 (multiplicity 1)

***

DFT (SCAN) results for a crystal of Os2O3F7 relaxed with PBEsol.

Values from the calculation:
Final energy: -821.01 eV for the cell shown
Crystal system: monoclinic

Cell: 5.615 10.095 12.351 Å, 90.00 100.03 90.00°
Space group P2_1/c (No. 14)
Symmetry-distinct sites (fractional):
Os 0.011 0.249 0.002 (multiplicity 4)
Os 0.345 0.512 0.717 (multiplicity 4)
O 0.403 0.075 0.336 (multiplicity 4)
O 0.471 0.561 0.362 (multiplicity 4)
O 0.478 0.661 0.750 (multiplicity 4)
F 0.025 0.559 0.726 (multiplicity 4)
F 0.090 0.668 0.133 (multiplicity 4)
F 0.104 0.155 0.142 (multiplicity 4)
F 0.190 0.595 0.552 (multiplicity 4)
F 0.198 0.107 0.558 (multiplicity 4)
F 0.255 0.682 0.943 (multiplicity 4)
F 0.275 0.174 0.950 (multiplicity 4)

***

DFT (SCAN) results for a crystal of MgAgRh relaxed with PBEsol.

Values from the calculation:
Energy above the most stable polymorph in this dataset: 403 meV per atom
Formation energy: 0.232 eV per atom
Crystal system: cubic

Cell: 5.960 5.960 5.960 Å, 90.00 90.00 90.00°
Space group F-43m (No. 216)
Symmetry-distinct sites (fractional):
Mg 0.000 0.000 0.000 (multiplicity 4)
Ag 0.250 0.250 0.250 (multiplicity 4)
Rh 0.250 0.250 0.750 (multiplicity 4)

***

DFT (SCAN) results for a crystal of SrZnRu2 relaxed with PBEsol.

Values from the calculation:
Formation energy: 0.624 eV per atom
Crystal system: cubic

Cell: 6.476 6.476 6.476 Å, 90.00 90.00 90.00°
Space group F-43m (No. 216)
Symmetry-distinct sites (fractional):
Sr 0.000 0.000 0.000 (multiplicity 4)
Zn 0.250 0.250 0.750 (multiplicity 4)
Ru 0.000 0.000 0.500 (multiplicity 4)
Ru 0.250 0.250 0.250 (multiplicity 4)

***

DFT (SCAN) results for a crystal of RbMnRe3 relaxed with PBEsol.

Values from the calculation:
Formation energy: 2.013 eV per atom
Crystal system: cubic

Cell: 4.566 4.566 4.566 Å, 90.00 90.00 90.00°
Space group Pm-3m (No. 221)
Symmetry-distinct sites (fractional):
Rb 0.000 0.000 0.000 (multiplicity 1)
Mn 0.500 0.500 0.500 (multiplicity 1)
Re 0.000 0.500 0.500 (multiplicity 3)

***

DFT (SCAN) results for a crystal of CrSi3Ni relaxed with PBEsol.

Values from the calculation:
Final energy: -60.68 eV for the cell shown
Crystal system: cubic

Cell: 4.305 4.305 4.305 Å, 90.00 90.00 90.00°
Space group Pm-3m (No. 221)
Symmetry-distinct sites (fractional):
Cr 0.000 0.000 0.000 (multiplicity 1)
Si 0.000 0.000 0.500 (multiplicity 3)
Ni 0.500 0.500 0.500 (multiplicity 1)

***

DFT (SCAN) results for a crystal of Li2InPb relaxed with PBEsol.

Values from the calculation:
Energy above the most stable polymorph in this dataset: 4 meV per atom
Formation energy: -0.383 eV per atom
Crystal system: tetragonal

Cell: 4.929 4.929 3.324 Å, 90.00 90.00 90.00°
Space group P4/mmm (No. 123)
Symmetry-distinct sites (fractional):
Li 0.000 0.500 0.000 (multiplicity 2)
In 0.000 0.000 0.500 (multiplicity 1)
Pb 0.500 0.500 0.500 (multiplicity 1)

***

DFT (SCAN) results for a crystal of SrTlNiP2 relaxed with PBEsol.

Values from the calculation:
Formation energy: 1.566 eV per atom
Crystal system: tetragonal

Cell: 5.337 5.337 5.826 Å, 90.00 90.00 90.00°
Space group P4/mmm (No. 123)
Symmetry-distinct sites (fractional):
Sr 0.000 0.000 0.000 (multiplicity 1)
Tl 0.000 0.000 0.500 (multiplicity 1)
Ni 0.500 0.500 0.500 (multiplicity 1)
P 0.000 0.500 0.000 (multiplicity 2)

***

DFT (SCAN) results for a crystal of LiCu2O2 relaxed with PBEsol.

Values from the calculation:
Final energy: -407.49 eV for the cell shown
Crystal system: tetragonal

Cell: 5.663 5.663 12.343 Å, 90.00 90.00 90.00°
Space group P4_2/nmc (No. 137, origin choice 2)
Symmetry-distinct sites (fractional):
Li 0.006 0.250 0.178 (multiplicity 8)
Cu 0.002 0.750 0.151 (multiplicity 8)
Cu 0.002 0.750 0.507 (multiplicity 8)
O 0.009 0.250 0.343 (multiplicity 8)
O 0.009 0.750 0.358 (multiplicity 8)